No. 1
The following is a DFT calculation (PBE) of an optimized crystal structure of ZnSO4.

Summary:
Raw total energy = -5.59 eV per atom

Cell: 8.604 6.632 4.733 Å, 90.00 90.00 90.00°
Atoms (fractional coordinates):
1 Zn 0.000 0.000 0.000
2 Zn 0.000 0.500 0.000
3 Zn 0.500 0.000 0.500
4 Zn 0.500 0.500 0.500
5 S 0.179 0.250 0.476
6 S 0.321 0.750 0.976
7 S 0.679 0.250 0.024
8 S 0.821 0.750 0.524
9 O 0.124 0.063 0.342
10 O 0.124 0.437 0.342
11 O 0.132 0.250 0.779
12 O 0.145 0.750 0.948
13 O 0.355 0.250 0.448
14 O 0.368 0.750 0.279
15 O 0.376 0.563 0.842
16 O 0.376 0.937 0.842
17 O 0.624 0.063 0.158
18 O 0.624 0.437 0.158
19 O 0.632 0.250 0.721
20 O 0.645 0.750 0.552
21 O 0.855 0.250 0.052
22 O 0.868 0.750 0.221
23 O 0.876 0.563 0.658
24 O 0.876 0.937 0.658



No. 2
The following is a DFT calculation (PBE) of an optimized crystal structure of Pm2PdO4.

Summary:
ΔE to the lowest computed polymorph = 299 kJ/mol of formula units

Cell: 6.902 6.902 6.902 Å, 60.00 60.00 60.00°
Atoms (fractional coordinates):
1 Pm 0.000 0.000 0.000
2 Pm 0.000 0.000 0.500
3 Pm 0.000 0.500 0.000
4 Pm 0.500 0.000 0.000
5 Pd 0.375 0.375 0.375
6 Pd 0.625 0.625 0.625
7 O 0.222 0.759 0.759
8 O 0.241 0.241 0.241
9 O 0.241 0.241 0.778
10 O 0.241 0.778 0.241
11 O 0.759 0.222 0.759
12 O 0.759 0.759 0.222
13 O 0.759 0.759 0.759
14 O 0.778 0.241 0.241